Entry from Alexandria via LeMat-Bulk: a relaxed structure of LiTl3Ni2F9 (PBE with a Hubbard U).

The calculated density comes out at 7.3 g/cm³. As for the total energy: -0.3027 Ry/atom.

It has space group P-3m1 (No. 164), with a = 5.7892 Å, b = 5.7892 Å, c = 7.1146 Å, α = 90.00°, β = 90.00° and γ = 120.00°. The asymmetric unit holds Li at (0.0000, 0.0000, 0.0000), Tl at (0.0000, 0.0000, 0.5000), Tl at (0.3333, 0.6667, 0.1482), Ni at (0.3333, 0.6667, 0.6671), F at (0.0000, 0.5000, 0.5000) and F at (0.1699, 0.3398, 0.8312).